Record 1
5
Lattice="5.9096 0.0000 0.0000 0.0000 5.7292 0.0000 0.0000 0.0000 5.9096" Properties=species:S:1:pos:R:3 comment="Sr2LiCaPb PBE relaxed" spacegroup="P4/mmm (123)" magmom_total_mub_per_fu=0.0 vol_a3_per_cell=200.1 final_energy_ev_per_atom=-2.06 e_form_ev_per_atom=0.137 pbc="T T T"
Pb 2.9548 2.8646 2.9548
Sr 0.0000 0.0000 2.9548
Sr 2.9548 0.0000 0.0000
Li 0.0000 0.0000 0.0000
Ca 0.0000 2.8646 0.0000

---

Record 2
12
Lattice="3.4553 0.0000 0.0000 0.0000 11.0544 0.0000 0.0000 -5.5272 9.5734" Properties=species:S:1:pos:R:3 comment="Ho2Er9Tm PBE relaxed" spacegroup="P6/mmm (191)" magmom_total_mub_per_fu=0.0 vol_a3_per_cell=365.7 final_energy_ev_per_atom=-4.50 de_polymorph_ev_per_fu=0.44 e_form_ev_per_atom=0.061 pbc="T T T"
Tm 0.0000 0.0000 0.0000
Ho 0.0000 5.5272 3.1911
Ho 0.0000 0.0000 6.3823
Er 0.0000 2.7636 4.7867
Er 1.7276 5.5272 6.2049
Er 1.7276 -2.6100 7.8892
Er 0.0000 -2.7636 4.7867
Er 1.7276 8.1372 1.6842
Er 0.0000 5.5272 0.0000
Er 1.7276 2.6100 7.8892
Er 1.7276 2.9171 1.6842
Er 1.7276 0.0000 3.3684

---

Record 3
12
Lattice="-0.6202 4.9647 -0.8761 -3.8067 -0.1670 3.3409 4.0382 1.3280 4.6678" Properties=species:S:1:pos:R:3 comment="Ca2TiOsO8 PBE relaxed" spacegroup="P2/m (10)" magmom_total_mub_per_fu=0.0 vol_a3_per_cell=162.3 final_energy_ev_per_atom=-7.27 pbc="T T T"
Os 0.0000 0.0000 0.0000
O 0.7828 4.8466 6.4830
O -2.3545 1.0039 3.6557
O 1.9659 5.1217 3.4769
O 0.8588 1.9294 2.9776
O -0.1174 1.7396 6.2417
O -1.2474 4.1962 4.1550
O -1.1714 1.2790 0.6496
O -0.2712 4.3860 0.8910
Ti 2.0191 0.6640 2.3339
Ca 0.7916 3.3870 4.7060
Ca -1.1802 2.7387 2.4266

---

Record 4
4
Lattice="3.2587 0.0000 0.0000 0.0000 4.6446 0.0000 0.0000 0.0000 4.6446" Properties=species:S:1:pos:R:3 comment="Hf2VRu PBE relaxed" spacegroup="P4/mmm (123)" magmom_total_mub_per_fu=2.4 vol_a3_per_cell=70.3 final_energy_ev_per_atom=-9.91 e_form_ev_per_atom=-0.337 pbc="T T T"
Hf 0.0000 0.0000 2.3223
Hf 0.0000 2.3223 0.0000
V 1.6294 0.0000 0.0000
Ru 1.6294 2.3223 2.3223

---

Record 5
5
Lattice="-1.8905 1.8905 7.8655 1.8905 -1.8905 7.8655 1.8905 1.8905 -7.8655" Properties=species:S:1:pos:R:3 comment="Zn2Sb2Se PBE relaxed" spacegroup="I4/mmm (139)" magmom_total_mub_per_fu=0.0 vol_a3_per_cell=112.4 final_energy_ev_per_atom=-2.72 de_polymorph_ev_per_fu=0.12 pbc="T T T"
Sb 0.0000 0.0000 6.0958
Sb 0.0000 0.0000 9.6352
Se 0.0000 0.0000 0.0000
Zn 0.0000 1.8905 3.9328
Zn 1.8905 0.0000 3.9328

---

Record 6
6
Lattice="-2.3730 0.2850 2.2093 2.0976 -2.9586 3.4151 3.0651 4.0889 4.7714" Properties=species:S:1:pos:R:3 comment="TcSnP PBE relaxed" spacegroup="P-1 (2)" magmom_total_mub_per_fu=0.0 vol_a3_per_cell=105.7 final_energy_ev_per_atom=-6.78 de_polymorph_ev_per_fu=0.27 e_form_ev_per_atom=-0.192 pbc="T T T"
Tc 1.1154 2.9915 5.6711
Tc 1.6744 -1.5762 4.7246
P -0.6503 -1.7991 4.6100
P 3.4401 3.2144 5.7858
Sn 1.6042 0.4691 6.7764
Sn 1.1856 0.9461 3.6193